1.
VASP calculation (PBE) on crystalline Be2ReRu at its relaxed geometry.

## Properties
The space group is No. 216. The density of states at the Fermi level is 2.1 states/eV/cell. The total moment is 0.00 μB per formula unit. Its formation enthalpy at 0 K is 0.00 kcal/mol of atoms. The calculation puts the volume at 11.9 A^3/atom.

The structure in POSCAR format:
```
Be2ReRu
1.0
4.070 0.000 0.000
2.035 3.525 0.000
2.035 1.175 3.323
Be Re Ru
2 1 1
Direct
0.250 0.250 0.250 Be
0.000 0.000 0.000 Be
0.500 0.500 0.500 Re
0.750 0.750 0.750 Ru
```

---

2.
VASP calculation (PBE) on crystalline Be2ReRu at its relaxed geometry.

## Properties
The space group is No. 10. The density of states at the Fermi level is 3.0 states/eV/cell. The total moment is 0.00 μB per formula unit. Its formation enthalpy at 0 K is 1.61 kcal/mol of atoms. The calculation puts the volume at 11.8 A^3/atom.

The structure in POSCAR format:
```
Be2ReRu
1.0
3.683 0.000 0.000
0.000 2.643 -0.021
0.000 0.906 4.846
Ru Be Re
1 2 1
Direct
0.500 0.750 0.750 Ru
0.000 0.972 0.993 Be
0.000 0.528 0.507 Be
0.500 0.250 0.250 Re
```

---

3.
VASP calculation (PBE) on crystalline Be2ReRu at its relaxed geometry.

## Properties
The space group is No. 71. The density of states at the Fermi level is 2.2 states/eV/cell. The total moment is 0.00 μB per formula unit. Its formation enthalpy at 0 K is 2.29 kcal/mol of atoms. The calculation puts the volume at 12.0 A^3/atom.

The structure in POSCAR format:
```
Be2ReRu
1.0
-1.870 -4.245 0.544
2.416 -3.272 -2.296
0.175 3.204 3.394
Be Re Ru
2 1 1
Direct
0.007 0.007 0.000 Be
0.493 0.493 0.000 Be
0.750 0.250 0.500 Re
0.250 0.750 0.500 Ru
```

---

4.
VASP calculation (PBE) on crystalline BeReRu2 at its relaxed geometry.

## Properties
The space group is No. 99. The density of states at the Fermi level is 3.4 states/eV/cell. The total moment is 0.00 μB per formula unit. Its formation enthalpy at 0 K is -0.97 kcal/mol of atoms. The calculation puts the volume at 12.6 A^3/atom.

The structure in POSCAR format:
```
BeReRu2
1.0
-1.686 0.759 2.049
1.747 -1.085 1.840
3.154 5.823 0.438
Ru Re Be
2 1 1
Direct
0.500 0.500 0.288 Ru
0.000 0.000 0.004 Ru
0.500 0.500 0.719 Re
0.000 0.000 0.488 Be
```

---

no.,offset from the most stable computed form (meV/atom)
1,176
2,245
3,275
4,121